[1]
{"formula": "BaHO3", "functional": "PBE-GGA", "state": "optimized geometry", "cell": [[3.861, 0.000, 0.000], [0.000, 3.861, 0.000], [0.000, 0.000, 3.861]], "species": ["Ba", "H", "O", "O", "O"], "frac_coords": [[0.000, 0.000, 0.000], [0.500, 0.500, 0.500], [0.000, 0.500, 0.500], [0.500, 0.000, 0.500], [0.500, 0.500, 0.000]], "space_group": "Pm-3m (221)", "dos_at_fermi_per_ev_fu": 2.923, "crystal_system": "cubic", "dft_energy_ev_per_atom": -4.36}

[2]
{"formula": "MgZnSi2S6", "functional": "PBE-GGA", "state": "optimized geometry", "cell": [[6.140, -5.716, 0.000], [6.140, 5.716, 0.000], [-2.259, 0.000, 6.027]], "species": ["Mg", "Mg", "Zn", "Zn", "Si", "Si", "Si", "Si", "S", "S", "S", "S", "S", "S", "S", "S", "S", "S", "S", "S"], "frac_coords": [[0.116, 0.884, 0.750], [0.884, 0.116, 0.250], [0.229, 0.771, 0.250], [0.771, 0.229, 0.750], [0.221, 0.380, 0.766], [0.380, 0.221, 0.266], [0.620, 0.779, 0.734], [0.779, 0.620, 0.234], [0.041, 0.189, 0.650], [0.122, 0.617, 0.892], [0.189, 0.041, 0.150], [0.308, 0.430, 0.500], [0.383, 0.878, 0.608], [0.430, 0.308, 0.000], [0.570, 0.692, 0.000], [0.617, 0.122, 0.392], [0.692, 0.570, 0.500], [0.811, 0.959, 0.850], [0.878, 0.383, 0.108], [0.959, 0.811, 0.350]], "space_group": "C2/c (15)", "dos_at_fermi_per_ev_fu": 0.000, "crystal_system": "monoclinic", "e_form_raw_ev_per_atom": -0.739, "dft_energy_ev_per_atom": -4.59}

[3]
{"formula": "Pm2PIr", "functional": "PBE-GGA", "state": "optimized geometry", "cell": [[0.000, 3.554, 3.554], [3.554, 0.000, 3.554], [3.554, 3.554, 0.000]], "species": ["Pm", "Pm", "P", "Ir"], "frac_coords": [[0.250, 0.250, 0.250], [0.750, 0.750, 0.750], [0.000, 0.000, 0.000], [0.500, 0.500, 0.500]], "space_group": "Fm-3m (225)", "dos_at_fermi_per_ev_fu": 1.129, "formation_energy_mev_per_atom": -739.2, "crystal_system": "cubic", "relative_energy_mev_per_atom": 165, "dft_energy_ev_per_atom": -6.68}

[4]
{"formula": "PmTlPb6", "functional": "PBE-GGA", "state": "optimized geometry", "cell": [[4.918, 0.000, 0.000], [0.000, 4.918, 0.000], [0.000, 0.000, 10.132]], "species": ["Pm", "Tl", "Pb", "Pb", "Pb", "Pb", "Pb", "Pb"], "frac_coords": [[0.000, 0.000, 0.000], [0.000, 0.000, 0.500], [0.000, 0.500, 0.248], [0.000, 0.500, 0.752], [0.500, 0.000, 0.248], [0.500, 0.000, 0.752], [0.500, 0.500, 0.000], [0.500, 0.500, 0.500]], "space_group": "P4/mmm (123)", "dos_at_fermi_per_ev_fu": 6.515, "formation_energy_mev_per_atom": -147.1, "crystal_system": "tetragonal", "dft_energy_ev_per_atom": -3.82}

[5]
{"formula": "Pm2PuScBi4", "functional": "PBE-GGA", "state": "optimized geometry", "cell": [[7.775, 0.000, 0.000], [0.000, 4.504, 0.000], [-2.588, 0.000, 7.336]], "species": ["Pm", "Pm", "Pu", "Sc", "Bi", "Bi", "Bi", "Bi"], "frac_coords": [[0.000, 0.000, 0.000], [0.500, 0.500, 0.000], [0.000, 0.500, 0.500], [0.500, 0.000, 0.500], [0.254, 0.000, 0.740], [0.263, 0.500, 0.266], [0.737, 0.500, 0.734], [0.746, 0.000, 0.260]], "space_group": "P2/m (10)", "dos_at_fermi_per_ev_fu": 17.347, "formation_energy_mev_per_atom": -694.7, "crystal_system": "monoclinic", "dft_energy_ev_per_atom": -6.41}

[6]
{"formula": "Bi2PRuS", "functional": "PBE-GGA", "state": "optimized geometry", "cell": [[5.493, 0.000, 0.000], [0.000, 5.493, 0.000], [0.000, 0.000, 4.230]], "species": ["Bi", "Bi", "P", "Ru", "S"], "frac_coords": [[0.000, 0.500, 0.000], [0.500, 0.000, 0.000], [0.000, 0.000, 0.500], [0.500, 0.500, 0.000], [0.500, 0.500, 0.500]], "space_group": "P4/mmm (123)", "dos_at_fermi_per_ev_fu": 2.482, "crystal_system": "tetragonal", "e_form_raw_ev_per_atom": 0.442, "dft_energy_ev_per_atom": -4.87}

[7]
{"formula": "AcAl2Zn4Ga", "functional": "PBE-GGA", "state": "optimized geometry", "cell": [[2.245, 1.296, 9.103], [-2.245, 1.296, 9.103], [0.000, -2.592, 9.103]], "species": ["Ac", "Al", "Al", "Zn", "Zn", "Zn", "Zn", "Ga"], "frac_coords": [[0.000, 0.000, 0.000], [0.242, 0.242, 0.242], [0.758, 0.758, 0.758], [0.130, 0.130, 0.130], [0.405, 0.405, 0.405], [0.595, 0.595, 0.595], [0.870, 0.870, 0.870], [0.500, 0.500, 0.500]], "space_group": "R-3m (166)", "dos_at_fermi_per_ev_fu": 3.915, "formation_energy_mev_per_atom": -124.7, "crystal_system": "trigonal", "dft_energy_ev_per_atom": -2.59}

[8]
{"formula": "SmTh6C5", "functional": "PBE-GGA", "state": "optimized geometry", "cell": [[6.857, 0.000, 0.000], [-3.428, 5.938, 0.000], [0.000, 0.000, 12.952]], "species": ["Sm", "Sm", "Th", "Th", "Th", "Th", "Th", "Th", "Th", "Th", "Th", "Th", "Th", "Th", "C", "C", "C", "C", "C", "C", "C", "C", "C", "C"], "frac_coords": [[0.000, 0.000, 0.250], [0.000, 0.000, 0.750], [0.000, 0.390, 0.117], [0.000, 0.390, 0.383], [0.000, 0.610, 0.617], [0.000, 0.610, 0.883], [0.390, 0.000, 0.117], [0.390, 0.000, 0.383], [0.390, 0.390, 0.617], [0.390, 0.390, 0.883], [0.610, 0.000, 0.617], [0.610, 0.000, 0.883], [0.610, 0.610, 0.117], [0.610, 0.610, 0.383], [0.000, 0.353, 0.750], [0.000, 0.647, 0.250], [0.333, 0.667, 0.000], [0.333, 0.667, 0.500], [0.353, 0.000, 0.750], [0.353, 0.353, 0.250], [0.647, 0.000, 0.250], [0.647, 0.647, 0.750], [0.667, 0.333, 0.000], [0.667, 0.333, 0.500]], "space_group": "P6_3/mcm (193)", "dos_at_fermi_per_ev_fu": 6.905, "formation_energy_mev_per_atom": 87.1, "crystal_system": "hexagonal", "dft_energy_ev_per_atom": -7.86}

[9]
{"formula": "KNaP2O6", "functional": "PBE-GGA", "state": "optimized geometry", "cell": [[5.359, -5.722, 0.000], [5.359, 5.722, 0.000], [-0.229, 0.000, 4.671]], "species": ["K", "K", "Na", "Na", "P", "P", "P", "P", "O", "O", "O", "O", "O", "O", "O", "O", "O", "O", "O", "O"], "frac_coords": [[0.115, 0.885, 0.750], [0.885, 0.115, 0.250], [0.318, 0.682, 0.250], [0.682, 0.318, 0.750], [0.201, 0.363, 0.747], [0.363, 0.201, 0.247], [0.637, 0.799, 0.753], [0.799, 0.637, 0.253], [0.046, 0.241, 0.748], [0.192, 0.548, 0.832], [0.241, 0.046, 0.248], [0.286, 0.361, 0.432], [0.361, 0.286, 0.932], [0.452, 0.808, 0.668], [0.548, 0.192, 0.332], [0.639, 0.714, 0.068], [0.714, 0.639, 0.568], [0.759, 0.954, 0.752], [0.808, 0.452, 0.168], [0.954, 0.759, 0.252]], "space_group": "C2/c (15)", "dos_at_fermi_per_ev_fu": 0.000, "crystal_system": "monoclinic", "e_form_raw_ev_per_atom": -2.204, "dft_energy_ev_per_atom": -6.50}

[10]
{"formula": "Li4Tl3Ag", "functional": "PBE-GGA", "state": "optimized geometry", "cell": [[3.397, -3.396, 0.000], [3.397, 3.396, 0.000], [-3.385, 0.000, 6.764]], "species": ["Li", "Li", "Li", "Li", "Tl", "Tl", "Tl", "Ag"], "frac_coords": [[0.118, 0.618, 0.736], [0.382, 0.882, 0.264], [0.618, 0.118, 0.736], [0.882, 0.382, 0.264], [0.000, 0.000, 0.500], [0.257, 0.257, 0.012], [0.743, 0.743, 0.988], [0.500, 0.500, 0.500]], "space_group": "C2/m (12)", "dos_at_fermi_per_ev_fu": 2.726, "formation_energy_mev_per_atom": -221.3, "crystal_system": "monoclinic", "relative_energy_mev_per_atom": 0, "dft_energy_ev_per_atom": -2.42}

[11]
{"formula": "Ac2Mg5Ag4", "functional": "PBE-GGA", "state": "optimized geometry", "cell": [[0.000, 5.075, 8.919], [3.057, 0.000, 8.919], [3.057, 5.075, 0.000]], "species": ["Ac", "Ac", "Mg", "Mg", "Mg", "Mg", "Mg", "Ag", "Ag", "Ag", "Ag"], "frac_coords": [[0.131, 0.131, 0.869], [0.869, 0.869, 0.131], [0.000, 0.000, 0.500], [0.250, 0.250, 0.250], [0.500, 0.500, 0.000], [0.500, 0.500, 0.500], [0.750, 0.750, 0.750], [0.216, 0.521, 0.479], [0.479, 0.784, 0.216], [0.521, 0.216, 0.784], [0.784, 0.479, 0.521]], "space_group": "Fmmm (69)", "dos_at_fermi_per_ev_fu": 5.813, "formation_energy_mev_per_atom": -203.5, "crystal_system": "orthorhombic", "dft_energy_ev_per_atom": -2.71}

[12]
{"formula": "TlAg2I6", "functional": "PBE-GGA", "state": "optimized geometry", "cell": [[6.881, -8.247, 0.000], [6.881, 8.247, 0.000], [-3.615, 0.000, 6.803]], "species": ["Tl", "Tl", "Ag", "Ag", "Ag", "Ag", "I", "I", "I", "I", "I", "I", "I", "I", "I", "I", "I", "I"], "frac_coords": [[0.222, 0.778, 0.750], [0.778, 0.222, 0.250], [0.323, 0.466, 0.532], [0.466, 0.323, 0.032], [0.534, 0.677, 0.968], [0.677, 0.534, 0.468], [0.024, 0.143, 0.073], [0.085, 0.479, 0.274], [0.143, 0.024, 0.573], [0.286, 0.462, 0.879], [0.462, 0.286, 0.379], [0.479, 0.085, 0.774], [0.521, 0.915, 0.226], [0.538, 0.714, 0.621], [0.714, 0.538, 0.121], [0.857, 0.976, 0.427], [0.915, 0.521, 0.726], [0.976, 0.857, 0.927]], "space_group": "C2/c (15)", "dos_at_fermi_per_ev_fu": 9.895, "crystal_system": "monoclinic", "e_form_raw_ev_per_atom": -0.187, "dft_energy_ev_per_atom": -2.12}

[13]
{"formula": "AcPrSm3Ho", "functional": "PBE-GGA", "state": "optimized geometry", "cell": [[8.260, 0.000, 0.000], [0.000, 5.216, 0.000], [-3.331, 0.000, 9.865]], "species": ["Ac", "Ac", "Pr", "Pr", "Sm", "Sm", "Sm", "Sm", "Sm", "Sm", "Ho", "Ho"], "frac_coords": [[0.168, 0.250, 0.293], [0.832, 0.750, 0.707], [0.496, 0.750, 0.874], [0.504, 0.250, 0.126], [0.170, 0.750, 0.040], [0.171, 0.250, 0.791], [0.172, 0.750, 0.546], [0.828, 0.250, 0.454], [0.829, 0.750, 0.209], [0.830, 0.250, 0.960], [0.498, 0.250, 0.625], [0.502, 0.750, 0.375]], "space_group": "P2_1/m (11)", "dos_at_fermi_per_ev_fu": 9.905, "formation_energy_mev_per_atom": 38.3, "crystal_system": "monoclinic", "dft_energy_ev_per_atom": -4.57}

[14]
{"formula": "Ho2ThV", "functional": "PBE-GGA", "state": "optimized geometry", "cell": [[1.697, 0.980, 11.331], [-1.697, 0.980, 11.331], [0.000, -1.959, 11.331]], "species": ["Ho", "Ho", "Th", "V"], "frac_coords": [[0.082, 0.082, 0.082], [0.918, 0.918, 0.918], [0.500, 0.500, 0.500], [0.000, 0.000, 0.000]], "space_group": "R-3m (166)", "dos_at_fermi_per_ev_fu": 5.133, "formation_energy_mev_per_atom": 602.4, "crystal_system": "trigonal", "dft_energy_ev_per_atom": -5.82}

[15]
{"formula": "CsPb3Br7", "functional": "PBE-GGA", "state": "optimized geometry", "cell": [[5.005, -5.564, 0.000], [5.005, 5.564, 0.000], [-2.356, 0.000, 7.323]], "species": ["Cs", "Pb", "Pb", "Pb", "Br", "Br", "Br", "Br", "Br", "Br", "Br"], "frac_coords": [[0.000, 0.000, 0.000], [0.272, 0.728, 0.500], [0.500, 0.500, 0.000], [0.728, 0.272, 0.500], [0.000, 0.000, 0.500], [0.122, 0.532, 0.770], [0.352, 0.352, 0.288], [0.468, 0.878, 0.230], [0.532, 0.122, 0.770], [0.648, 0.648, 0.712], [0.878, 0.468, 0.230]], "space_group": "C2/m (12)", "dos_at_fermi_per_ev_fu": 0.000, "crystal_system": "monoclinic", "e_form_raw_ev_per_atom": -1.059, "dft_energy_ev_per_atom": -3.21}

[16]
{"formula": "Li4Hf3TiS8", "functional": "PBE-GGA", "state": "optimized geometry", "cell": [[3.559, 2.055, 6.239], [-3.559, 2.055, 6.239], [0.000, -4.110, 6.239]], "species": ["Li", "Li", "Li", "Li", "Hf", "Hf", "Hf", "Ti", "S", "S", "S", "S", "S", "S", "S", "S"], "frac_coords": [[0.000, 0.000, 0.000], [0.000, 0.500, 0.500], [0.500, 0.000, 0.500], [0.500, 0.500, 0.000], [0.000, 0.000, 0.500], [0.000, 0.500, 0.000], [0.500, 0.000, 0.000], [0.500, 0.500, 0.500], [0.249, 0.249, 0.249], [0.253, 0.746, 0.746], [0.254, 0.254, 0.747], [0.254, 0.747, 0.254], [0.746, 0.253, 0.746], [0.746, 0.746, 0.253], [0.747, 0.254, 0.254], [0.751, 0.751, 0.751]], "space_group": "R-3m (166)", "dos_at_fermi_per_ev_fu": 6.205, "crystal_system": "trigonal", "e_form_raw_ev_per_atom": -1.486, "dft_energy_ev_per_atom": -6.39}

[17]
{"formula": "LuCdNiPd", "functional": "PBE-GGA", "state": "optimized geometry", "cell": [[0.000, 3.287, 3.287], [3.287, 0.000, 3.287], [3.287, 3.287, 0.000]], "species": ["Lu", "Cd", "Ni", "Pd"], "frac_coords": [[0.000, 0.000, 0.000], [0.500, 0.500, 0.500], [0.750, 0.750, 0.750], [0.250, 0.250, 0.250]], "space_group": "F-43m (216)", "dos_at_fermi_per_ev_fu": 2.102, "formation_energy_mev_per_atom": -509.5, "crystal_system": "cubic", "dft_energy_ev_per_atom": -4.61}

[18]
{"formula": "MoAsOs2", "functional": "PBE-GGA", "state": "optimized geometry", "cell": [[1.421, 0.821, 8.585], [-1.421, 0.821, 8.585], [0.000, -1.641, 8.585]], "species": ["Mo", "As", "Os", "Os"], "frac_coords": [[0.000, 0.000, 0.000], [0.500, 0.500, 0.500], [0.248, 0.248, 0.248], [0.752, 0.752, 0.752]], "space_group": "R-3m (166)", "dos_at_fermi_per_ev_fu": 2.582, "formation_energy_mev_per_atom": 257.4, "crystal_system": "trigonal", "dft_energy_ev_per_atom": -9.23}

[19]
{"formula": "CrBiP", "functional": "PBE-GGA", "state": "optimized geometry", "cell": [[3.931, 0.000, 0.000], [0.000, 3.931, 0.000], [0.000, 0.000, 4.406]], "species": ["Cr", "Bi", "P"], "frac_coords": [[0.000, 0.000, 0.000], [0.500, 0.500, 0.000], [0.000, 0.000, 0.500]], "space_group": "P4/mmm (123)", "dos_at_fermi_per_ev_fu": 2.596, "formation_energy_mev_per_atom": 410.8, "crystal_system": "tetragonal", "relative_energy_mev_per_atom": 319, "dft_energy_ev_per_atom": -5.89}

[20]
{"formula": "LaZn2Mo", "functional": "PBE-GGA", "state": "optimized geometry", "cell": [[-2.140, 2.140, 4.385], [2.140, -2.140, 4.385], [2.140, 2.140, -4.385]], "species": ["La", "Zn", "Zn", "Mo"], "frac_coords": [[0.000, 0.000, 0.000], [0.500, 0.500, 0.000], [0.750, 0.250, 0.500], [0.250, 0.750, 0.500]], "space_group": "I-4m2 (119)", "dos_at_fermi_per_ev_fu": 3.197, "formation_energy_mev_per_atom": 375.6, "crystal_system": "tetragonal", "relative_energy_mev_per_atom": 274, "dft_energy_ev_per_atom": -4.20}